{"formula": "Ag3HBr4", "functional": "PBE", "state": "relaxed", "lattice_angstrom": [[7.381, 0.000, 0.000], [0.001, 7.806, 0.346], [0.000, 0.380, 8.344]], "species": ["Ag", "Br", "Br", "Br", "Ag", "Ag", "Br", "H", "Br", "Ag", "Br", "Br", "Br", "Ag", "Ag", "H"], "fractional_positions": [[0.927, 0.723, 0.209], [0.100, 0.379, 0.200], [0.633, 0.126, 0.056], [0.666, 0.636, 0.715], [0.556, 0.300, 0.774], [0.056, 0.700, 0.726], [0.600, 0.621, 0.300], [0.637, 0.634, 0.530], [0.611, 0.113, 0.530], [0.385, 0.899, 0.191], [0.133, 0.874, 0.444], [0.166, 0.364, 0.785], [0.111, 0.887, 0.970], [0.885, 0.101, 0.309], [0.427, 0.277, 0.291], [0.137, 0.366, 0.970]], "volume_a3_per_atom": 29.98, "final_energy_ev_per_atom": -2.610, "magnetic_moment_mub_per_cell": 0.0, "sg": "No. 4"}

{"formula": "Ag2H2Br", "functional": "PBE", "state": "relaxed", "lattice_angstrom": [[7.117, 0.000, 0.000], [0.000, 7.117, 0.000], [0.000, 0.000, 3.151]], "species": ["H", "Ag", "Br", "H", "Ag", "H", "Ag", "Ag", "H", "Br"], "fractional_positions": [[0.913, 0.413, 0.500], [0.368, 0.868, 0.000], [0.000, 0.000, 0.000], [0.587, 0.913, 0.500], [0.632, 0.132, 0.000], [0.087, 0.587, 0.500], [0.132, 0.368, 0.000], [0.868, 0.632, 0.000], [0.413, 0.087, 0.500], [0.500, 0.500, 0.000]], "volume_a3_per_atom": 15.96, "polymorph_energy_kj_per_mol_atoms": 37.6, "final_energy_ev_per_atom": -2.283, "magnetic_moment_mub_per_cell": 0.0, "sg": "No. 127"}

{"formula": "AgH2Br", "functional": "PBE", "state": "relaxed", "lattice_angstrom": [[5.091, 0.000, 0.000], [0.000, 5.091, 0.000], [2.546, 2.546, 4.506]], "species": ["Br", "H", "H", "H", "Ag", "Br", "H", "Ag"], "fractional_positions": [[0.250, 0.750, 0.500], [0.996, 0.625, 0.250], [0.375, 0.246, 0.750], [0.754, 0.125, 0.250], [0.000, 0.000, 0.000], [0.500, 0.500, 0.000], [0.875, 0.004, 0.750], [0.750, 0.250, 0.500]], "volume_a3_per_atom": 14.60, "polymorph_energy_kj_per_mol_atoms": 38.0, "final_energy_ev_per_atom": -2.261, "magnetic_moment_mub_per_cell": 0.0, "sg": "No. 122"}

{"formula": "AgHBr3", "functional": "PBE", "state": "relaxed", "lattice_angstrom": [[-4.609, 1.433, -2.190], [-1.094, -5.084, -1.023], [-2.377, -0.438, 4.716]], "species": ["H", "Br", "Br", "Ag", "Br"], "fractional_positions": [[0.500, 0.500, 0.500], [0.500, 0.000, 0.000], [0.000, 0.500, 0.000], [0.000, 0.000, 0.000], [0.000, 0.000, 0.500]], "volume_a3_per_atom": 29.77, "polymorph_energy_kj_per_mol_atoms": 66.5, "final_energy_ev_per_atom": -1.750, "magnetic_moment_mub_per_cell": 0.6, "sg": "No. 221"}

{"formula": "AgH2Br3", "functional": "PBE", "state": "relaxed", "lattice_angstrom": [[8.198, -0.001, 0.002], [-4.100, 9.633, -5.836], [0.000, -4.362, 6.643]], "species": ["H", "H", "H", "Ag", "Br", "Br", "Br", "Ag", "Br", "H", "Br", "Br"], "fractional_positions": [[0.755, 0.395, 0.668], [0.640, 0.395, 0.168], [0.245, 0.605, 0.332], [0.135, 0.999, 0.749], [0.953, 0.683, 0.981], [0.549, 0.000, 0.250], [0.729, 0.683, 0.481], [0.865, 0.001, 0.251], [0.271, 0.317, 0.519], [0.360, 0.605, 0.832], [0.047, 0.317, 0.019], [0.451, 0.000, 0.750]], "volume_a3_per_atom": 26.33, "final_energy_ev_per_atom": -2.653, "magnetic_moment_mub_per_cell": 0.0, "sg": "No. 2"}

{"formula": "Ag2H2Br", "functional": "PBE", "state": "relaxed", "lattice_angstrom": [[3.596, -0.721, -0.884], [-0.734, 9.990, 5.368], [-3.662, 9.283, 10.026]], "species": ["Ag", "Br", "Br", "H", "Ag", "H", "Ag", "H", "H", "Ag"], "fractional_positions": [[0.691, 0.839, 0.552], [0.067, 0.447, 0.684], [0.933, 0.553, 0.316], [0.865, 0.697, 0.960], [0.309, 0.161, 0.448], [0.135, 0.303, 0.040], [0.644, 0.194, 0.101], [0.954, 0.943, 0.630], [0.046, 0.057, 0.370], [0.356, 0.806, 0.899]], "volume_a3_per_atom": 16.35, "polymorph_energy_kj_per_mol_atoms": 0.0, "final_energy_ev_per_atom": -2.673, "magnetic_moment_mub_per_cell": 0.0, "sg": "No. 2"}

{"formula": "HfAg2HBr", "functional": "PBE", "state": "relaxed", "lattice_angstrom": [[-5.412, -0.066, 1.082], [0.250, -3.574, 1.036], [1.018, 1.575, 5.191]], "species": ["Hf", "Ag", "H", "Ag", "Br"], "fractional_positions": [[0.000, 0.000, 0.000], [0.500, 0.000, 0.000], [0.000, 0.500, 0.000], [0.000, 0.000, 0.500], [0.500, 0.500, 0.500]], "volume_a3_per_atom": 22.73, "final_energy_ev_per_atom": -3.527, "magnetic_moment_mub_per_cell": 0.3, "sg": "No. 123"}

{"formula": "AgHIBr", "functional": "PBE", "state": "relaxed", "lattice_angstrom": [[-3.826, 1.908, -2.116], [-2.573, -2.596, -3.065], [-6.375, -2.579, 3.824]], "species": ["Ag", "I", "Br", "H"], "fractional_positions": [[0.674, 0.674, 0.977], [0.318, 0.318, 0.045], [0.134, 0.134, 0.598], [0.200, 0.200, 0.400]], "volume_a3_per_atom": 36.31, "final_energy_ev_per_atom": -2.553, "magnetic_moment_mub_per_cell": 0.0, "sg": "No. 160"}